(1)
# Li2CaBrO4, optimized geometry, DFT PBE
# Spin magnetization, μB per cell: 0.00
# Raw formation energy, meV per atom: -1300
data_Li2CaBrO4
_space_group_name_H-M_alt 'C 1 2/c 1'
_space_group_IT_number 15
_cell_length_a 9.4743
_cell_length_b 8.4185
_cell_length_c 6.7100
_cell_angle_alpha 90.00
_cell_angle_beta 133.11
_cell_angle_gamma 90.00
loop_
_space_group_symop_operation_xyz
'x,y,z'
'-x,-y,-z'
'-x,y,-z+1/2'
'x,-y,z+1/2'
'x+1/2,y+1/2,z'
'-x+1/2,-y+1/2,-z'
'-x+1/2,y+1/2,-z+1/2'
'x+1/2,-y+1/2,z+1/2'
loop_
_atom_site_label
_atom_site_fract_x
_atom_site_fract_y
_atom_site_fract_z
Li1 0.0000 0.0000 0.0000
Li2 0.2500 0.2500 0.0000
Ca1 0.0000 0.5000 0.0000
Br1 0.2500 0.2500 0.5000
O1 0.0788 0.2349 0.5713
O2 0.2392 0.4905 0.4868



(2)
# Pu3MnGe6Pt2, optimized geometry, DFT PBE
# Formation energy from the elements, eV/atom: -0.2548
# Spin magnetization, μB per cell: 12.80
data_Pu3MnGe6Pt2
_space_group_name_H-M_alt 'P -3 m 1'
_space_group_IT_number 164
_space_group_name_Hall '-P 3 2"'
_cell_length_a 5.9341
_cell_length_b 5.9341
_cell_length_c 7.7430
_cell_angle_alpha 90.00
_cell_angle_beta 90.00
_cell_angle_gamma 120.00
loop_
_atom_site_label
_atom_site_fract_x
_atom_site_fract_y
_atom_site_fract_z
Pu1 0.0000 0.0000 0.0000
Pu2 0.3333 0.6667 0.6593
Mn1 0.0000 0.0000 0.5000
Ge1 0.1873 0.3745 0.3063
Pt1 0.3333 0.6667 0.0296



(3)
# La2PmPr5Tm, optimized geometry, DFT PBE
# Formation energy from the elements, eV/atom: 0.2473
# Spin magnetization, μB per cell: 0.00
data_La2PmPr5Tm
_space_group_name_H-M_alt 'I 4/m c m'
_space_group_IT_number 140
_space_group_name_Hall '-I 4 2c'
_cell_length_a 8.7660
_cell_length_b 8.7660
_cell_length_c 16.8099
_cell_angle_alpha 90.00
_cell_angle_beta 90.00
_cell_angle_gamma 90.00
loop_
_atom_site_label
_atom_site_fract_x
_atom_site_fract_y
_atom_site_fract_z
La1 0.1207 0.3793 0.0000
Pm1 0.0000 0.0000 0.2500
Pr1 0.0000 0.0000 0.0000
Pr2 0.2207 0.2793 0.3561
Tm1 0.0000 0.5000 0.2500



(4)
# LaCu2, optimized geometry, DFT PBE
# Formation energy from the elements, eV/atom: 0.4354
# Spin magnetization, μB per cell: 0.00
data_LaCu2
_space_group_name_H-M_alt 'P a -3'
_space_group_IT_number 205
_space_group_name_Hall '-P 2ac 2ab 3'
_cell_length_a 6.7379
_cell_length_b 6.7379
_cell_length_c 6.7379
_cell_angle_alpha 90.00
_cell_angle_beta 90.00
_cell_angle_gamma 90.00
loop_
_atom_site_label
_atom_site_fract_x
_atom_site_fract_y
_atom_site_fract_z
La1 0.0000 0.0000 0.0000
Cu1 0.1009 0.6009 0.8991



(5)
# Sm3GeNCl, optimized geometry, DFT PBE
# Spin magnetization, μB per cell: 0.00
# Raw formation energy, meV per atom: -1226
data_Sm3GeNCl
_space_group_name_H-M_alt 'P 1 21/m 1'
_space_group_IT_number 11
_cell_length_a 7.4937
_cell_length_b 3.6049
_cell_length_c 10.7132
_cell_angle_alpha 90.00
_cell_angle_beta 106.09
_cell_angle_gamma 90.00
loop_
_space_group_symop_operation_xyz
'x,y,z'
'-x,-y,-z'
'-x,y+1/2,-z'
'x,-y+1/2,z'
loop_
_atom_site_label
_atom_site_fract_x
_atom_site_fract_y
_atom_site_fract_z
Sm1 0.1486 0.2500 0.1330
Sm2 0.2920 0.7500 0.5087
Sm3 0.2959 0.7500 0.8679
Ge1 0.4762 0.7500 0.2821
N1 0.1087 0.2500 0.9099
Cl1 0.0120 0.2500 0.3659



(6)
# Li2LaSc, optimized geometry, DFT PBE
# Formation energy from the elements, eV/atom: 0.1861
# Spin magnetization, μB per cell: 0.04
data_Li2LaSc
_space_group_name_H-M_alt 'P 4/m m m'
_space_group_IT_number 123
_space_group_name_Hall '-P 4 2'
_cell_length_a 3.6535
_cell_length_b 3.6535
_cell_length_c 7.4501
_cell_angle_alpha 90.00
_cell_angle_beta 90.00
_cell_angle_gamma 90.00
loop_
_atom_site_label
_atom_site_fract_x
_atom_site_fract_y
_atom_site_fract_z
Li1 0.0000 0.0000 0.2220
La1 0.5000 0.5000 0.5000
Sc1 0.5000 0.5000 0.0000



(7)
# Rb3LiBr4, optimized geometry, DFT PBE
# Spin magnetization, μB per cell: 0.00
# Raw formation energy, meV per atom: -1663
data_Rb3LiBr4
_space_group_name_H-M_alt 'P n m a'
_space_group_IT_number 62
_cell_length_a 9.7271
_cell_length_b 11.8893
_cell_length_c 10.2639
_cell_angle_alpha 90.00
_cell_angle_beta 90.00
_cell_angle_gamma 90.00
loop_
_space_group_symop_operation_xyz
'x,y,z'
'-x,-y,-z'
'-x+1/2,-y,z+1/2'
'x+1/2,y,-z+1/2'
'x+1/2,-y+1/2,-z+1/2'
'-x+1/2,y+1/2,z+1/2'
'-x,y+1/2,-z'
'x,-y+1/2,z'
loop_
_atom_site_label
_atom_site_fract_x
_atom_site_fract_y
_atom_site_fract_z
Rb1 0.0446 0.0477 0.2083
Rb2 0.1145 0.7500 0.4231
Li1 0.2099 0.7500 0.9886
Br1 0.0238 0.2500 0.9017
Br2 0.1774 0.0639 0.5396
Br3 0.1958 0.7500 0.7410



(8)
# LiAsOs2, optimized geometry, DFT PBE
# Formation energy from the elements, eV/atom: 0.2170
# Spin magnetization, μB per cell: 0.00
data_LiAsOs2
_space_group_name_H-M_alt 'I m m m'
_space_group_IT_number 71
_space_group_name_Hall '-I 2 2'
_cell_length_a 2.8855
_cell_length_b 4.3839
_cell_length_c 9.3379
_cell_angle_alpha 90.00
_cell_angle_beta 90.00
_cell_angle_gamma 90.00
loop_
_atom_site_label
_atom_site_fract_x
_atom_site_fract_y
_atom_site_fract_z
Li1 0.0000 0.0000 0.0000
As1 0.0000 0.0000 0.5000
Os1 0.0000 0.5000 0.2119



(9)
# BaVCd3, optimized geometry, DFT PBE
# Formation energy from the elements, eV/atom: 1.3099
# Spin magnetization, μB per cell: 4.06
data_BaVCd3
_space_group_name_H-M_alt 'P m -3 m'
_space_group_IT_number 221
_space_group_name_Hall '-P 4 2 3'
_cell_length_a 6.3397
_cell_length_b 6.3397
_cell_length_c 6.3397
_cell_angle_alpha 90.00
_cell_angle_beta 90.00
_cell_angle_gamma 90.00
loop_
_atom_site_label
_atom_site_fract_x
_atom_site_fract_y
_atom_site_fract_z
Ba1 0.0000 0.0000 0.0000
V1 0.5000 0.5000 0.5000
Cd1 0.0000 0.0000 0.5000



(10)
# GdLuAlPt, optimized geometry, DFT PBE
# Formation energy from the elements, eV/atom: -0.7426
# Spin magnetization, μB per cell: 28.35
data_GdLuAlPt
_space_group_name_H-M_alt 'F -4 3 m'
_space_group_IT_number 216
_space_group_name_Hall 'F -4 2 3'
_cell_length_a 7.0711
_cell_length_b 7.0711
_cell_length_c 7.0711
_cell_angle_alpha 90.00
_cell_angle_beta 90.00
_cell_angle_gamma 90.00
loop_
_atom_site_label
_atom_site_fract_x
_atom_site_fract_y
_atom_site_fract_z
Gd1 0.0000 0.0000 0.0000
Lu1 0.0000 0.0000 0.5000
Al1 0.2500 0.2500 0.7500
Pt1 0.2500 0.2500 0.2500



(11)
# Na8Tl6Au, optimized geometry, DFT PBE
# Formation energy from the elements, eV/atom: -0.0837
# Spin magnetization, μB per cell: 0.00
data_Na8Tl6Au
_space_group_name_H-M_alt 'R -3'
_space_group_IT_number 148
_space_group_name_Hall '-R 3'
_cell_length_a 9.0003
_cell_length_b 9.0003
_cell_length_c 20.0478
_cell_angle_alpha 90.00
_cell_angle_beta 90.00
_cell_angle_gamma 120.00
loop_
_atom_site_label
_atom_site_fract_x
_atom_site_fract_y
_atom_site_fract_z
Na1 0.0000 0.0000 0.1631
Na2 0.0086 0.6513 0.3817
Tl1 0.0013 0.6903 0.5479
Au1 0.0000 0.0000 0.5000



(12)
# K2RbSn, optimized geometry, DFT PBE
# Formation energy from the elements, eV/atom: -0.0830
# Spin magnetization, μB per cell: 0.00
data_K2RbSn
_space_group_name_H-M_alt 'P 1 21/c 1'
_space_group_IT_number 14
_cell_length_a 11.7439
_cell_length_b 6.2825
_cell_length_c 12.8785
_cell_angle_alpha 90.00
_cell_angle_beta 114.95
_cell_angle_gamma 90.00
loop_
_space_group_symop_operation_xyz
'x,y,z'
'-x,-y,-z'
'-x,y+1/2,-z+1/2'
'x,-y+1/2,z+1/2'
loop_
_atom_site_label
_atom_site_fract_x
_atom_site_fract_y
_atom_site_fract_z
K1 0.0897 0.0009 0.3835
K2 0.2862 0.0005 0.1339
Rb1 0.3578 0.5006 0.3373
Sn1 0.4240 0.9996 0.5612



(13)
# PmYInOs, optimized geometry, DFT PBE
# Formation energy from the elements, eV/atom: -0.1757
# Spin magnetization, μB per cell: 0.00
data_PmYInOs
_space_group_name_H-M_alt 'F -4 3 m'
_space_group_IT_number 216
_space_group_name_Hall 'F -4 2 3'
_cell_length_a 7.2339
_cell_length_b 7.2339
_cell_length_c 7.2339
_cell_angle_alpha 90.00
_cell_angle_beta 90.00
_cell_angle_gamma 90.00
loop_
_atom_site_label
_atom_site_fract_x
_atom_site_fract_y
_atom_site_fract_z
Pm1 0.0000 0.0000 0.0000
Y1 0.0000 0.0000 0.5000
In1 0.2500 0.2500 0.7500
Os1 0.2500 0.2500 0.2500



(14)
# La2CeNdAs4, optimized geometry, DFT PBE
# Formation energy from the elements, eV/atom: -1.5236
# Spin magnetization, μB per cell: 0.61
data_La2CeNdAs4
_space_group_name_H-M_alt 'P 1 2/m 1'
_space_group_IT_number 10
_cell_length_a 7.4618
_cell_length_b 4.3100
_cell_length_c 7.4733
_cell_angle_alpha 90.00
_cell_angle_beta 109.42
_cell_angle_gamma 90.00
loop_
_space_group_symop_operation_xyz
'x,y,z'
'-x,-y,-z'
'-x,y,-z'
'x,-y,z'
loop_
_atom_site_label
_atom_site_fract_x
_atom_site_fract_y
_atom_site_fract_z
La1 0.0000 0.0000 0.0000
La2 0.5000 0.5000 0.0000
Ce1 0.0000 0.5000 0.5000
Nd1 0.5000 0.0000 0.5000
As1 0.2444 0.0000 0.7413
As2 0.2488 0.5000 0.2567



(15)
# NaAcTlCd, optimized geometry, DFT PBE
# Formation energy from the elements, eV/atom: -0.2355
# Spin magnetization, μB per cell: 0.00
data_NaAcTlCd
_space_group_name_H-M_alt 'F -4 3 m'
_space_group_IT_number 216
_space_group_name_Hall 'F -4 2 3'
_cell_length_a 7.9057
_cell_length_b 7.9057
_cell_length_c 7.9057
_cell_angle_alpha 90.00
_cell_angle_beta 90.00
_cell_angle_gamma 90.00
loop_
_atom_site_label
_atom_site_fract_x
_atom_site_fract_y
_atom_site_fract_z
Na1 0.0000 0.0000 0.0000
Ac1 0.0000 0.0000 0.5000
Tl1 0.2500 0.2500 0.7500
Cd1 0.2500 0.2500 0.2500



(16)
# Zr4Hg3Mo, optimized geometry, DFT PBE
# Formation energy from the elements, eV/atom: -0.1512
# Spin magnetization, μB per cell: 0.00
data_Zr4Hg3Mo
_space_group_name_H-M_alt 'P 4/m m m'
_space_group_IT_number 123
_space_group_name_Hall '-P 4 2'
_cell_length_a 3.3603
_cell_length_b 3.3603
_cell_length_c 15.0590
_cell_angle_alpha 90.00
_cell_angle_beta 90.00
_cell_angle_gamma 90.00
loop_
_atom_site_label
_atom_site_fract_x
_atom_site_fract_y
_atom_site_fract_z
Zr1 0.0000 0.0000 0.1050
Zr2 0.0000 0.0000 0.3686
Hg1 0.5000 0.5000 0.2381
Hg2 0.5000 0.5000 0.5000
Mo1 0.5000 0.5000 0.0000



(17)
# ScVZnFe2, optimized geometry, DFT PBE
# Formation energy from the elements, eV/atom: 0.6005
# Spin magnetization, μB per cell: 2.02
data_ScVZnFe2
_space_group_name_H-M_alt 'P 4/m m m'
_space_group_IT_number 123
_space_group_name_Hall '-P 4 2'
_cell_length_a 4.2111
_cell_length_b 4.2111
_cell_length_c 4.7372
_cell_angle_alpha 90.00
_cell_angle_beta 90.00
_cell_angle_gamma 90.00
loop_
_atom_site_label
_atom_site_fract_x
_atom_site_fract_y
_atom_site_fract_z
Sc1 0.0000 0.0000 0.0000
V1 0.5000 0.5000 0.5000
Zn1 0.5000 0.5000 0.0000
Fe1 0.0000 0.5000 0.5000



(18)
# CaNdPtPb, optimized geometry, DFT PBE
# Formation energy from the elements, eV/atom: -0.6703
# Spin magnetization, μB per cell: 0.00
data_CaNdPtPb
_space_group_name_H-M_alt 'F -4 3 m'
_space_group_IT_number 216
_space_group_name_Hall 'F -4 2 3'
_cell_length_a 7.4760
_cell_length_b 7.4760
_cell_length_c 7.4760
_cell_angle_alpha 90.00
_cell_angle_beta 90.00
_cell_angle_gamma 90.00
loop_
_atom_site_label
_atom_site_fract_x
_atom_site_fract_y
_atom_site_fract_z
Ca1 0.0000 0.0000 0.0000
Nd1 0.0000 0.0000 0.5000
Pt1 0.2500 0.2500 0.2500
Pb1 0.2500 0.2500 0.7500



(19)
# CaErS2O8, optimized geometry, DFT PBE
# Spin magnetization, μB per cell: 0.42
# Raw formation energy, meV per atom: -1977
data_CaErS2O8
_space_group_name_H-M_alt 'P -3 m 1'
_space_group_IT_number 164
_space_group_name_Hall '-P 3 2"'
_cell_length_a 5.1419
_cell_length_b 5.1419
_cell_length_c 7.4488
_cell_angle_alpha 90.00
_cell_angle_beta 90.00
_cell_angle_gamma 120.00
loop_
_atom_site_label
_atom_site_fract_x
_atom_site_fract_y
_atom_site_fract_z
Ca1 0.0000 0.0000 0.0000
Er1 0.0000 0.0000 0.5000
S1 0.3333 0.6667 0.7985
O1 0.1749 0.3499 0.7327
O2 0.3333 0.6667 0.9959



(20)
# AsP5, optimized geometry, DFT PBE
# Formation energy from the elements, eV/atom: 0.4314
# Spin magnetization, μB per cell: 0.00
data_AsP5
_space_group_name_H-M_alt 'P -6 2 m'
_space_group_IT_number 189
_space_group_name_Hall 'P -6 -2'
_cell_length_a 5.8240
_cell_length_b 5.8240
_cell_length_c 3.2901
_cell_angle_alpha 90.00
_cell_angle_beta 90.00
_cell_angle_gamma 120.00
loop_
_atom_site_label
_atom_site_fract_x
_atom_site_fract_y
_atom_site_fract_z
As1 0.0000 0.0000 0.0000
P1 0.0000 0.6383 0.5000
P2 0.3333 0.6667 0.0000



(21)
# Pr2Zn2HgPt5, optimized geometry, DFT PBE
# Formation energy from the elements, eV/atom: -0.6842
# Spin magnetization, μB per cell: 0.00
data_Pr2Zn2HgPt5
_space_group_name_H-M_alt 'P 4/m b m'
_space_group_IT_number 127
_space_group_name_Hall '-P 4 2ab'
_cell_length_a 9.8561
_cell_length_b 9.8561
_cell_length_c 3.8948
_cell_angle_alpha 90.00
_cell_angle_beta 90.00
_cell_angle_gamma 90.00
loop_
_atom_site_label
_atom_site_fract_x
_atom_site_fract_y
_atom_site_fract_z
Pr1 0.1790 0.3210 0.0000
Zn1 0.1182 0.6182 0.0000
Hg1 0.0000 0.0000 0.0000
Pt1 0.0000 0.5000 0.5000
Pt2 0.0641 0.7892 0.5000



(22)
# Pr2Ni7Sn, optimized geometry, DFT PBE
# Formation energy from the elements, eV/atom: -0.2138
# Spin magnetization, μB per cell: 0.00
data_Pr2Ni7Sn
_space_group_name_H-M_alt 'P -4 m 2'
_space_group_IT_number 115
_cell_length_a 3.9421
_cell_length_b 3.9421
_cell_length_c 10.6495
_cell_angle_alpha 90.00
_cell_angle_beta 90.00
_cell_angle_gamma 90.00
loop_
_space_group_symop_operation_xyz
'x,y,z'
'y,-x,-z'
'-x,-y,z'
'-y,x,-z'
'-x,y,z'
'-y,-x,-z'
'x,-y,z'
'y,x,-z'
loop_
_atom_site_label
_atom_site_fract_x
_atom_site_fract_y
_atom_site_fract_z
Pr1 0.0000 0.5000 0.2280
Ni1 0.0000 0.0000 0.0000
Ni2 0.0000 0.5000 0.6514
Ni3 0.0000 0.5000 0.8710
Ni4 0.5000 0.5000 0.0000
Ni5 0.5000 0.5000 0.5000
Sn1 0.0000 0.0000 0.5000